No. 1
4
Lattice="1.658 0.957 10.011 -1.658 0.957 10.011 0.000 -1.914 10.011" Properties=species:S:1:pos:R:3 comment="KMn2Br (PBEsol, optimized geometry)" density_g_cm3=4.0 m_tot_mub_per_cell=8.56 de_polymorph_mev_per_atom=169 volume_a3_per_atom=23.821 pbc="T T T"
K 0.000 0.000 0.000
Mn 0.000 0.000 7.042
Mn 0.000 0.000 22.990
Br 0.000 0.000 15.016



No. 2
4
Lattice="-1.596 3.179 5.222 1.596 -3.179 5.222 1.596 3.179 -5.222" Properties=species:S:1:pos:R:3 comment="KMn2Br (PBEsol, optimized geometry)" density_g_cm3=3.6 m_tot_mub_per_cell=7.98 de_polymorph_mev_per_atom=0 volume_a3_per_atom=26.488 pbc="T T T"
K 0.000 0.000 0.000
Mn 0.000 0.000 4.817
Mn 0.000 3.179 1.631
Br 1.596 0.000 2.864



No. 3
4
Lattice="-2.660 2.660 3.696 2.660 -2.660 3.696 2.660 2.660 -3.696" Properties=species:S:1:pos:R:3 comment="KMn2Br (PBEsol, optimized geometry)" density_g_cm3=3.6 m_tot_mub_per_cell=9.61 de_polymorph_mev_per_atom=222 volume_a3_per_atom=26.156 pbc="T T T"
K 0.000 0.000 0.000
Mn 0.000 0.000 3.696
Mn 0.000 2.660 1.848
Br 2.660 0.000 1.848



No. 4
4
Lattice="3.820 0.000 0.000 0.000 3.820 0.000 0.000 0.000 10.361" Properties=species:S:1:pos:R:3 comment="K2MnBr (PBEsol, optimized geometry)" density_g_cm3=2.3 m_tot_mub_per_cell=4.77 final_energy_ev_per_atom=-3.3565 volume_a3_per_atom=37.789 pbc="T T T"
K 0.000 0.000 0.000
K 1.910 1.910 4.212
Mn 0.000 0.000 6.671
Br 1.910 1.910 8.571



No. 5
5
Lattice="4.943 0.000 0.000 0.000 4.943 0.000 0.000 0.000 7.072" Properties=species:S:1:pos:R:3 comment="KMn2TeBr (PBEsol, optimized geometry)" density_g_cm3=3.4 m_tot_mub_per_cell=8.01 final_energy_ev_per_atom=-4.9402 volume_a3_per_atom=34.554 pbc="T T T"
K 0.000 0.000 0.000
Mn 0.000 2.471 3.536
Mn 2.471 0.000 3.536
Te 0.000 0.000 3.536
Br 2.471 2.471 0.000



No. 6
35
Lattice="0.000 8.119 8.119 8.119 0.000 8.119 8.119 8.119 0.000" Properties=species:S:1:pos:R:3 comment="K8Zr6MnBr20 (PBEsol, optimized geometry)" density_g_cm3=3.9 m_tot_mub_per_cell=0.00 final_energy_ev_per_atom=-4.6562 volume_a3_per_atom=30.584 pbc="T T T"
K 2.276 2.276 2.276
K 5.844 5.844 2.276
K 5.844 2.276 5.844
K 13.963 10.395 10.395
K 2.276 5.844 5.844
K 10.395 13.963 10.395
K 10.395 10.395 13.963
K 13.963 13.963 13.963
Zr 8.119 8.119 5.715
Zr 8.119 5.715 8.119
Zr 10.524 8.119 8.119
Zr 5.715 8.119 8.119
Zr 8.119 10.524 8.119
Zr 8.119 8.119 10.524
Mn 8.119 8.119 8.119
Br 8.119 5.396 5.396
Br 10.842 8.119 5.396
Br 10.842 5.396 8.119
Br 8.119 8.119 2.879
Br 8.119 2.879 8.119
Br 13.359 8.119 8.119
Br 4.060 4.060 4.060
Br 5.396 8.119 5.396
Br 8.119 10.842 5.396
Br 5.396 5.396 8.119
Br 10.842 10.842 8.119
Br 8.119 5.396 10.842
Br 10.842 8.119 10.842
Br 12.179 12.179 12.179
Br 2.879 8.119 8.119
Br 8.119 13.359 8.119
Br 8.119 8.119 13.359
Br 5.396 10.842 8.119
Br 5.396 8.119 10.842
Br 8.119 10.842 10.842



No. 7
8
Lattice="-3.048 3.048 6.876 3.048 -3.048 6.876 3.048 3.048 -6.876" Properties=species:S:1:pos:R:3 comment="KMoBr2 (PBEsol, optimized geometry)" density_g_cm3=3.8 m_tot_mub_per_cell=0.01 de_polymorph_mev_per_atom=138 volume_a3_per_atom=31.935 pbc="T T T"
K 0.000 0.000 0.000
K 0.000 3.048 3.438
Mo 3.048 0.000 3.438
Mo 0.000 0.000 6.876
Br 1.524 -0.894 5.157
Br 2.153 1.524 1.719
Br 1.524 3.942 -1.719
Br 0.894 1.524 8.596



No. 8
4
Lattice="0.000 3.727 3.727 3.727 0.000 3.727 3.727 3.727 0.000" Properties=species:S:1:pos:R:3 comment="KMoBr2 (PBEsol, optimized geometry)" density_g_cm3=4.7 m_tot_mub_per_cell=5.00 de_polymorph_mev_per_atom=142 volume_a3_per_atom=25.884 pbc="T T T"
K 0.000 0.000 0.000
Mo 3.727 3.727 3.727
Br 1.863 1.863 1.863
Br 5.590 5.590 5.590



No. 9
4
Lattice="3.898 -2.477 0.000 3.898 2.477 0.000 -1.968 0.000 6.467" Properties=species:S:1:pos:R:3 comment="KMoBr2 (PBEsol, optimized geometry)" density_g_cm3=3.9 m_tot_mub_per_cell=5.00 de_polymorph_mev_per_atom=0 volume_a3_per_atom=31.219 pbc="T T T"
K 0.000 0.000 0.000
Mo 2.914 0.000 3.233
Br 0.741 0.000 4.680
Br 5.088 0.000 1.787



No. 10
4
Lattice="3.646 0.000 0.000 0.000 5.104 0.000 0.000 0.000 5.525" Properties=species:S:1:pos:R:3 comment="KMoBr2 (PBEsol, optimized geometry)" density_g_cm3=4.8 m_tot_mub_per_cell=4.91 de_polymorph_mev_per_atom=106 volume_a3_per_atom=25.701 pbc="T T T"
K 0.000 0.000 0.000
Mo 0.000 2.552 2.762
Br 1.823 0.000 2.762
Br 1.823 2.552 0.000



No. 11
26
Lattice="5.962 0.000 0.000 -2.981 5.164 0.000 0.000 0.000 15.586" Properties=species:S:1:pos:R:3 comment="K3Mo2BrO7 (PBEsol, optimized geometry)" density_g_cm3=3.5 m_tot_mub_per_cell=0.16 final_energy_ev_per_atom=-7.0620 volume_a3_per_atom=18.455 pbc="T T T"
K 0.000 3.442 0.649
K 0.000 3.442 7.144
K 0.000 3.442 11.689
K 2.981 1.721 3.896
K 2.981 1.721 8.442
K 2.981 1.721 14.937
Mo 0.000 0.000 2.025
Mo 0.000 0.000 5.768
Mo 0.000 0.000 9.818
Mo 0.000 0.000 13.561
Br 0.000 3.442 3.896
Br 2.981 1.721 11.689
O 0.000 0.000 3.896
O 0.000 0.000 11.689
O 0.000 1.627 9.214
O 0.000 1.627 14.165
O -1.572 4.350 9.214
O -1.572 4.350 14.165
O 1.409 0.813 1.421
O 1.409 0.813 6.372
O 1.572 4.350 9.214
O 1.572 4.350 14.165
O 4.553 0.813 1.421
O 4.553 0.813 6.372
O 2.981 3.537 1.421
O 2.981 3.537 6.372



No. 12
5
Lattice="5.651 0.000 0.000 0.000 5.651 0.000 0.000 0.000 5.860" Properties=species:S:1:pos:R:3 comment="KTiMoBr2 (PBEsol, optimized geometry)" density_g_cm3=3.0 m_tot_mub_per_cell=8.46 final_energy_ev_per_atom=-3.5221 volume_a3_per_atom=37.424 pbc="T T T"
K 0.000 0.000 0.000
Ti 2.825 2.825 2.930
Mo 0.000 0.000 2.930
Br 0.000 2.825 0.000
Br 2.825 0.000 0.000